An optimized crystal structure of LiHPt. Source: Alexandria via LeMat-Bulk, functional PBE. Values from VASP.

Values from the calculation:
Electronic total energy ... -12.45 eV per formula unit
Total magnetic moment ... 0.0 μB per formula unit

```
&SYSTEM
  ibrav = 0, nat = 6, ntyp = 3
/
ATOMIC_SPECIES
Li 6.94 Li.upf
H 1.01 H.upf
Pt 195.08 Pt.upf
CELL_PARAMETERS angstrom
2.786 0.000 0.000
-0.036 4.859 0.000
-1.389 -0.317 4.785
ATOMIC_POSITIONS angstrom
Li -0.005 1.562 1.074
Li 1.366 2.980 3.712
H -0.009 3.361 1.952
H 1.370 1.181 2.834
Pt -0.023 0.532 3.657
Pt 1.383 4.011 1.128
```